BaMg2MnTe4 (PBE, relaxed); magnetization = 0.63 μB per atom; ΔE_f (raw) = -80.3 kJ per mole of atoms; uncorrected energy = -4.188 eV per atom
1.0
4.435 0.000 0.000
-2.217 7.430 0.000
0.000 0.000 15.098
Mg Ba Te Mn
4 2 8 2
Direct
0.624 0.247 0.057
0.376 0.753 0.943
0.624 0.247 0.443
0.376 0.753 0.557
0.875 0.750 0.250
0.125 0.250 0.750
0.000 0.000 0.000
0.739 0.478 0.894
0.000 0.000 0.500
0.261 0.522 0.394
0.261 0.522 0.106
0.554 0.108 0.250
0.739 0.478 0.606
0.446 0.892 0.750
0.158 0.315 0.250
0.842 0.685 0.750